No. 1
The following is a PBE-GGA calculation of an optimized crystal structure of NdYAg2As4, from OQMD.

The space group is P4mm (No. 99) and the conventional cell measures 4.033, 4.033 and 10.436 Å, with angles of 90.00, 90.00 and 90.00 degrees. The inequivalent atoms are Nd at (0.000, 0.000, 0.000), Y at (0.500, 0.500, 0.546), Ag at (0.000, 0.500, 0.278), As at (0.000, 0.000, 0.462), As at (0.000, 0.500, 0.769) and As at (0.500, 0.500, 0.094).

The calculation puts the volume at 169.7 Å³ per cell. The total energy is -41.6 eV for the cell shown.

---

No. 2
The following is a PBE-GGA calculation of an optimized crystal structure of ZrScBi, from OQMD.

The space group is F-43m (No. 216) and the conventional cell measures 6.986, 6.986 and 6.986 Å, with angles of 90.00, 90.00 and 90.00 degrees. The inequivalent atoms are Zr at (0.000, 0.000, 0.000), Sc at (0.250, 0.250, 0.750) and Bi at (0.000, 0.000, 0.500).

The calculation puts the volume at 340.9 Å³ per cell. The total energy is -72.1 eV for the cell shown.

---

No. 3
The following is a PBE-GGA calculation of an optimized crystal structure of RbGdPu, from OQMD.

The space group is F-43m (No. 216) and the conventional cell measures 8.290, 8.290 and 8.290 Å, with angles of 90.00, 90.00 and 90.00 degrees. The inequivalent atoms are Rb at (0.000, 0.000, 0.000), Gd at (0.000, 0.000, 0.500) and Pu at (0.250, 0.250, 0.250).

The calculation puts the volume at 569.7 Å³ per cell. The total energy is -63.2 eV for the cell shown.

---

No. 4
The following is a PBE-GGA calculation of an optimized crystal structure of PaTaAs, from OQMD.

The space group is F-43m (No. 216) and the conventional cell measures 6.665, 6.665 and 6.665 Å, with angles of 90.00, 90.00 and 90.00 degrees. The inequivalent atoms are Pa at (0.000, 0.000, 0.000), Ta at (0.250, 0.250, 0.250) and As at (0.250, 0.250, 0.750).

The calculation puts the volume at 296.0 Å³ per cell. The total energy is -93.6 eV for the cell shown. The calculation puts the energy relative to the lowest polymorph listed for this composition at 0.5499 eV/atom.